1.
An optimized crystal structure of ZnHg3Ge. Source: Alexandria, functional GGA-PBE.

Output
- DFT formation energy (eV/atom) = 0.30
- SG = Pm-3m (221)
- energy above the most stable polymorph in this dataset (meV per atom) = 0

Lattice parameters (Å, degrees): 5.4518 5.4518 5.4518 90.00 90.00 90.00
Last column: nearest neighbours and their distance in Å.
Atoms (fractional coordinates):
1 Hg 0.0000 0.5000 0.0000  2 Ge 2.73
2 Hg 0.0000 0.0000 0.5000  2 Ge 2.73
3 Hg 0.5000 0.0000 0.0000  2 Ge 2.73
4 Ge 0.0000 0.0000 0.0000  6 Hg 2.73
5 Zn 0.5000 0.5000 0.5000  12 Hg 3.86

2.
An optimized crystal structure of ZnHgGe2. Source: Alexandria, functional GGA-PBE.

Output
- DFT formation energy (eV/atom) = 0.25
- SG = I-42d (122)
- energy above the most stable polymorph in this dataset (meV per atom) = 0

Lattice parameters (Å, degrees): 4.4576 4.4576 9.2605 76.07 76.07 90.00
Last column: nearest neighbours and their distance in Å.
Atoms (fractional coordinates):
1 Hg 0.7500 0.2500 0.5000  4 Ge 2.80
2 Hg 0.0000 0.0000 0.0000  4 Ge 2.80
3 Ge 0.5669 0.1250 0.2500  2 Zn 2.59, 2 Hg 2.80, 2 Ge 2.81
4 Ge 0.1831 0.6250 0.2500  2 Zn 2.59, 2 Hg 2.80, 2 Ge 2.81
5 Ge 0.8750 0.8169 0.7500  2 Zn 2.59, 2 Hg 2.80, 2 Ge 2.81
6 Ge 0.3750 0.4331 0.7500  2 Zn 2.59, 2 Hg 2.80, 2 Ge 2.81
7 Zn 0.2500 0.7500 0.5000  4 Ge 2.59
8 Zn 0.5000 0.5000 0.0000  4 Ge 2.59

3.
An optimized crystal structure of ZnHgGe. Source: Alexandria, functional GGA-PBE.

Output
- DFT formation energy (eV/atom) = 0.22
- SG = P3m1 (156)

Lattice parameters (Å, degrees): 3.9424 4.3039 4.3039 120.00 90.00 90.00
Last column: nearest neighbours and their distance in Å.
Atoms (fractional coordinates):
1 Zn 0.0538 0.0000 0.0000  3 Ge 2.62, 3 Hg 2.88
2 Hg 0.6826 0.3333 0.6667  3 Zn 2.88, 3 Ge 2.98
3 Ge 0.2637 0.6667 0.3333  3 Zn 2.62

4.
An optimized crystal structure of ZnHgGe3. Source: Alexandria, functional GGA-PBE.

Output
- DFT formation energy (eV/atom) = 0.96
- SG = Pm-3m (221)
- energy above the most stable polymorph in this dataset (meV per atom) = 406

Lattice parameters (Å, degrees): 5.2478 5.2478 5.2478 90.00 90.00 90.00
Last column: nearest neighbours and their distance in Å.
Atoms (fractional coordinates):
1 Ge 0.0000 0.5000 0.0000  2 Hg 2.62
2 Ge 0.5000 0.0000 0.0000  2 Hg 2.62
3 Ge 0.0000 0.0000 0.5000  2 Hg 2.62
4 Hg 0.0000 0.0000 0.0000  6 Ge 2.62
5 Zn 0.5000 0.5000 0.5000  12 Ge 3.71

5.
An optimized crystal structure of ZnHg2Ge. Source: Alexandria, functional GGA-PBE.

Output
- DFT formation energy (eV/atom) = 0.28
- SG = Fm-3m (225)
- energy above the most stable polymorph in this dataset (meV per atom) = 72

Lattice parameters (Å, degrees): 4.9417 4.9417 4.9417 60.00 60.00 60.00
Last column: nearest neighbours and their distance in Å.
Atoms (fractional coordinates):
1 Ge 0.5000 0.5000 0.5000  8 Hg 3.03
2 Hg 0.2500 0.2500 0.2500  4 Ge 3.03, 4 Zn 3.03
3 Hg 0.7500 0.7500 0.7500  4 Zn 3.03, 4 Ge 3.03
4 Zn 0.0000 0.0000 0.0000  8 Hg 3.03

6.
An optimized crystal structure of Zn2HgGe2. Source: Alexandria, functional GGA-PBE.

Output
- DFT formation energy (eV/atom) = 0.17
- SG = I4/mmm (139)
- energy above the most stable polymorph in this dataset (meV per atom) = 0

Lattice parameters (Å, degrees): 4.2671 4.2671 6.3277 70.29 70.29 90.00
Last column: nearest neighbours and their distance in Å.
Atoms (fractional coordinates):
1 Zn 0.2500 0.7500 0.5000  4 Ge 2.62
2 Zn 0.7500 0.2500 0.5000  4 Ge 2.62
3 Ge 0.6136 0.6136 0.7727  1 Ge 2.53, 4 Zn 2.62
4 Ge 0.3864 0.3864 0.2273  1 Ge 2.53, 4 Zn 2.62
5 Hg 0.0000 0.0000 0.0000  8 Ge 3.27, 8 Zn 3.51

7.
An optimized crystal structure of ZnHgGe. Source: Alexandria, functional GGA-PBE.

Output
- DFT formation energy (eV/atom) = 0.16
- SG = P1 (1)

Lattice parameters (Å, degrees): 4.0833 5.6376 6.5299 64.60 86.07 80.90
Last column: nearest neighbours and their distance in Å.
Atoms (fractional coordinates):
1 Zn 0.7060 0.0246 0.4526  2 Ge 2.56-2.57, 2 Hg 2.78-2.79, 2 Zn 2.84-2.85
2 Zn 0.7054 0.4931 0.5174  4 Ge 2.55-2.77, 2 Zn 2.84-2.85
3 Ge 0.1836 0.6702 0.6760  3 Zn 2.55-2.77, 1 Hg 2.71, 1 Ge 2.78
4 Ge 0.2272 0.1574 0.6748  3 Zn 2.56-2.77, 1 Hg 2.72, 1 Ge 2.78
5 Hg 0.9684 0.4495 0.1106  1 Ge 2.71, 2 Zn 2.79-2.89
6 Hg 0.4552 0.9405 0.1071  1 Ge 2.72, 2 Zn 2.78-2.89

8.
An optimized crystal structure of Zn2Hg2Ge. Source: Alexandria, functional GGA-PBE.

Output
- DFT formation energy (eV/atom) = 0.23
- SG = P4/mbm (127)
- energy above the most stable polymorph in this dataset (meV per atom) = 43

Lattice parameters (Å, degrees): 8.2361 8.2361 3.0116 90.00 90.00 90.00
Last column: nearest neighbours and their distance in Å.
Atoms (fractional coordinates):
1 Zn 0.8824 0.3824 0.5000  3 Zn 2.74-3.01, 6 Hg 2.78-2.94
2 Zn 0.3824 0.1176 0.5000  3 Zn 2.74-3.01, 6 Hg 2.78-2.94
3 Zn 0.1176 0.6176 0.5000  3 Zn 2.74-3.01, 6 Hg 2.78-2.94
4 Zn 0.6176 0.8824 0.5000  3 Zn 2.74-3.01, 6 Hg 2.78-2.94
5 Hg 0.8184 0.6816 0.0000  6 Zn 2.78-2.94, 2 Hg 3.01, 2 Ge 3.02
6 Hg 0.3184 0.8184 0.0000  6 Zn 2.78-2.94, 2 Hg 3.01, 2 Ge 3.02
7 Hg 0.6816 0.1816 0.0000  6 Zn 2.78-2.94, 2 Hg 3.01, 2 Ge 3.02
8 Hg 0.1816 0.3184 0.0000  6 Zn 2.78-2.94, 2 Hg 3.01, 2 Ge 3.02
9 Ge 0.0000 0.0000 0.0000  2 Ge 3.01, 4 Hg 3.02
10 Ge 0.5000 0.5000 0.0000  2 Ge 3.01, 4 Hg 3.02

9.
An optimized crystal structure of Zn2Hg2Ge. Source: Alexandria, functional GGA-PBE.

Output
- DFT formation energy (eV/atom) = 0.18
- SG = P4/mbm (127)
- energy above the most stable polymorph in this dataset (meV per atom) = 0

Lattice parameters (Å, degrees): 6.8743 6.8743 4.3759 90.00 90.00 90.00
Last column: nearest neighbours and their distance in Å.
Atoms (fractional coordinates):
1 Hg 0.3286 0.1714 0.5000  6 Zn 2.89-3.05
2 Hg 0.8286 0.3286 0.5000  6 Zn 2.89-3.05
3 Hg 0.1714 0.6714 0.5000  6 Zn 2.89-3.05
4 Hg 0.6714 0.8286 0.5000  6 Zn 2.89-3.05
5 Ge 0.0000 0.0000 0.0000  4 Zn 2.68
6 Ge 0.5000 0.5000 0.0000  4 Zn 2.68
7 Zn 0.1348 0.3652 0.0000  1 Zn 2.62, 2 Ge 2.68, 2 Hg 2.89
8 Zn 0.3652 0.8652 0.0000  1 Zn 2.62, 2 Ge 2.68, 2 Hg 2.89
9 Zn 0.8652 0.6348 0.0000  1 Zn 2.62, 2 Ge 2.68, 2 Hg 2.89
10 Zn 0.6348 0.1348 0.0000  1 Zn 2.62, 2 Ge 2.68, 2 Hg 2.89

10.
An optimized crystal structure of ZnHg2Ge. Source: Alexandria, functional GGA-PBE.

Output
- DFT formation energy (eV/atom) = 0.23
- SG = I-42d (122)
- energy above the most stable polymorph in this dataset (meV per atom) = 31

Lattice parameters (Å, degrees): 4.3343 4.3343 10.0681 77.57 77.57 90.00
Last column: nearest neighbours and their distance in Å.
Atoms (fractional coordinates):
1 Ge 0.0000 0.0000 0.0000  4 Hg 2.86, 4 Zn 3.06
2 Ge 0.7500 0.2500 0.5000  4 Hg 2.86, 4 Zn 3.06
3 Zn 0.2500 0.7500 0.5000  4 Hg 2.83, 4 Ge 3.06
4 Zn 0.5000 0.5000 0.0000  4 Hg 2.83, 4 Ge 3.06
5 Hg 0.6162 0.1250 0.2500  2 Zn 2.83, 2 Ge 2.86, 4 Hg 3.01-3.12
6 Hg 0.8750 0.8662 0.7500  2 Zn 2.83, 2 Ge 2.86, 4 Hg 3.01-3.12
7 Hg 0.1338 0.6250 0.2500  2 Zn 2.83, 2 Ge 2.86, 4 Hg 3.01-3.12
8 Hg 0.3750 0.3838 0.7500  2 Zn 2.83, 2 Ge 2.86, 4 Hg 3.01-3.12

11.
An optimized crystal structure of ZnHgGe. Source: Alexandria, functional GGA-PBE.

Output
- DFT formation energy (eV/atom) = 0.16
- SG = Imma (74)

Lattice parameters (Å, degrees): 4.3531 5.4365 10.7773 90.00 90.00 90.00
Last column: nearest neighbours and their distance in Å.
Atoms (fractional coordinates):
1 Zn 0.5000 0.2500 0.6859  2 Zn 2.58, 3 Ge 2.64-2.88, 2 Hg 2.75
2 Zn 0.5000 0.7500 0.3141  2 Zn 2.58, 3 Ge 2.64-2.88, 2 Hg 2.75
3 Zn 0.0000 0.2500 0.8141  2 Zn 2.58, 3 Ge 2.64-2.88, 2 Hg 2.75
4 Zn 0.0000 0.7500 0.1859  2 Zn 2.58, 3 Ge 2.64-2.88, 2 Hg 2.75
5 Hg 0.5000 0.7500 0.6452  2 Zn 2.75, 2 Ge 3.00
6 Hg 0.0000 0.2500 0.1452  2 Zn 2.75, 2 Ge 3.00
7 Hg 0.0000 0.7500 0.8548  2 Zn 2.75, 2 Ge 3.00
8 Hg 0.5000 0.2500 0.3548  2 Zn 2.75, 2 Ge 3.00
9 Ge 0.0000 0.7500 0.4534  3 Zn 2.64-2.88, 2 Ge 2.90
10 Ge 0.5000 0.2500 0.9534  3 Zn 2.64-2.88, 2 Ge 2.90
11 Ge 0.5000 0.7500 0.0466  3 Zn 2.64-2.88, 2 Ge 2.90
12 Ge 0.0000 0.2500 0.5466  3 Zn 2.64-2.88, 2 Ge 2.90

12.
An optimized crystal structure of ZnHgGe. Source: Alexandria, functional GGA-PBE.

Output
- DFT formation energy (eV/atom) = 0.18
- SG = P1 (1)

Lattice parameters (Å, degrees): 2.9102 3.2448 6.8602 102.62 99.24 89.65
Last column: nearest neighbours and their distance in Å.
Atoms (fractional coordinates):
1 Hg 0.9296 0.0784 0.6004  2 Zn 2.80-2.85, 2 Hg 2.91, 2 Ge 2.97-3.05
2 Ge 0.1278 0.7777 0.9840  4 Zn 2.78-2.82, 2 Ge 2.91, 2 Hg 2.97-3.05
3 Zn 0.7230 0.4060 0.2516  4 Ge 2.78-2.82, 2 Hg 2.80-2.85, 2 Zn 2.91

13.
An optimized crystal structure of Zr2HgGe2. Source: Alexandria, functional GGA-PBE.

Output
- DFT formation energy (eV/atom) = -0.25
- SG = I4/mmm (139)
- energy above the most stable polymorph in this dataset (meV per atom) = 153

Lattice parameters (Å, degrees): 3.6479 3.6479 8.2746 77.27 77.27 90.00
Last column: nearest neighbours and their distance in Å.
Atoms (fractional coordinates):
1 Zr 0.6099 0.6099 0.7801  4 Ge 2.86, 4 Hg 3.11
2 Zr 0.3901 0.3901 0.2199  4 Ge 2.86, 4 Hg 3.11
3 Hg 0.0000 0.0000 0.0000  8 Zr 3.11
4 Ge 0.7500 0.2500 0.5000  4 Ge 2.58, 4 Zr 2.86
5 Ge 0.2500 0.7500 0.5000  4 Ge 2.58, 4 Zr 2.86

14.
An optimized crystal structure of ZrHg2Ge2. Source: Alexandria, functional GGA-PBE.

Output
- DFT formation energy (eV/atom) = 0.15
- SG = I4/mmm (139)
- energy above the most stable polymorph in this dataset (meV per atom) = 72

Lattice parameters (Å, degrees): 3.8427 3.8427 8.8276 77.43 77.43 90.00
Last column: nearest neighbours and their distance in Å.
Atoms (fractional coordinates):
1 Ge 0.5750 0.5750 0.8501  1 Ge 2.52
2 Ge 0.4250 0.4250 0.1499  1 Ge 2.52
3 Hg 0.2500 0.7500 0.5000  4 Hg 2.72
4 Hg 0.7500 0.2500 0.5000  4 Hg 2.72
5 Zr 0.0000 0.0000 0.0000  8 Ge 2.99

15.
An optimized crystal structure of ZrHg2Ge2. Source: Alexandria, functional GGA-PBE.

Output
- DFT formation energy (eV/atom) = 0.08
- SG = P4/mbm (127)
- energy above the most stable polymorph in this dataset (meV per atom) = 0

Lattice parameters (Å, degrees): 7.2231 7.2231 4.0930 90.00 90.00 90.00
Last column: nearest neighbours and their distance in Å.
Atoms (fractional coordinates):
1 Hg 0.8231 0.3231 0.5000  6 Ge 2.85-3.03
2 Hg 0.1769 0.6769 0.5000  6 Ge 2.85-3.03
3 Hg 0.3231 0.1769 0.5000  6 Ge 2.85-3.03
4 Hg 0.6769 0.8231 0.5000  6 Ge 2.85-3.03
5 Zr 0.0000 0.0000 0.0000  4 Ge 2.84
6 Zr 0.5000 0.5000 0.0000  4 Ge 2.84
7 Ge 0.8708 0.6292 0.0000  1 Ge 2.64, 2 Zr 2.84, 2 Hg 2.85
8 Ge 0.3708 0.8708 0.0000  1 Ge 2.64, 2 Zr 2.84, 2 Hg 2.85
9 Ge 0.1292 0.3708 0.0000  1 Ge 2.64, 2 Zr 2.84, 2 Hg 2.85
10 Ge 0.6292 0.1292 0.0000  1 Ge 2.64, 2 Zr 2.84, 2 Hg 2.85

16.
An optimized crystal structure of ZrHgGe2. Source: Alexandria, functional GGA-PBE.

Output
- DFT formation energy (eV/atom) = 0.11
- SG = I-42d (122)

Lattice parameters (Å, degrees): 7.4537 7.4537 6.0927 52.29 52.29 90.00
Last column: nearest neighbours and their distance in Å.
Atoms (fractional coordinates):
1 Hg 0.0000 0.0000 0.0000  4 Ge 2.68
2 Hg 0.7500 0.2500 0.5000  4 Ge 2.68
3 Ge 0.6368 0.1250 0.2500  2 Hg 2.68, 2 Zr 2.80
4 Ge 0.3750 0.3632 0.7500  2 Hg 2.68, 2 Zr 2.80
5 Ge 0.1132 0.6250 0.2500  2 Hg 2.68, 2 Zr 2.80
6 Ge 0.8750 0.8868 0.7500  2 Hg 2.68, 2 Zr 2.80
7 Zr 0.5000 0.5000 0.0000  4 Ge 2.80, 2 Hg 3.06
8 Zr 0.2500 0.7500 0.5000  4 Ge 2.80, 2 Hg 3.06

17.
An optimized crystal structure of Zr2HgGe2. Source: Alexandria, functional GGA-PBE.

Output
- DFT formation energy (eV/atom) = -0.40
- SG = P4/mbm (127)
- energy above the most stable polymorph in this dataset (meV per atom) = 0

Lattice parameters (Å, degrees): 7.2756 7.2756 3.7498 90.00 90.00 90.00
Last column: nearest neighbours and their distance in Å.
Atoms (fractional coordinates):
1 Ge 0.6347 0.1347 0.0000  1 Ge 2.77, 6 Zr 2.80-2.87, 2 Hg 2.83
2 Ge 0.1347 0.3653 0.0000  1 Ge 2.77, 6 Zr 2.80-2.87, 2 Hg 2.83
3 Ge 0.8653 0.6347 0.0000  1 Ge 2.77, 6 Zr 2.80-2.87, 2 Hg 2.83
4 Ge 0.3653 0.8653 0.0000  1 Ge 2.77, 6 Zr 2.80-2.87, 2 Hg 2.83
5 Zr 0.8372 0.3372 0.5000  6 Ge 2.80-2.87
6 Zr 0.3372 0.1628 0.5000  6 Ge 2.80-2.87
7 Zr 0.6628 0.8372 0.5000  6 Ge 2.80-2.87
8 Zr 0.1628 0.6628 0.5000  6 Ge 2.80-2.87
9 Hg 0.0000 0.0000 0.0000  4 Ge 2.83
10 Hg 0.5000 0.5000 0.0000  4 Ge 2.83

18.
An optimized crystal structure of ZrHg3Ge. Source: Alexandria, functional GGA-PBE.

Output
- DFT formation energy (eV/atom) = 0.83
- SG = Pm-3m (221)

Lattice parameters (Å, degrees): 5.5160 5.5160 5.5160 90.00 90.00 90.00
Last column: nearest neighbours and their distance in Å.
Atoms (fractional coordinates):
1 Ge 0.5000 0.5000 0.5000  12 Hg 3.90
2 Hg 0.5000 0.0000 0.0000  2 Zr 2.76
3 Hg 0.0000 0.5000 0.0000  2 Zr 2.76
4 Hg 0.0000 0.0000 0.5000  2 Zr 2.76
5 Zr 0.0000 0.0000 0.0000  6 Hg 2.76

19.
An optimized crystal structure of Zr2HgGe2. Source: Alexandria, functional GGA-PBE.

Output
- DFT formation energy (eV/atom) = -0.33
- SG = P4/mbm (127)
- energy above the most stable polymorph in this dataset (meV per atom) = 73

Lattice parameters (Å, degrees): 7.7439 7.7439 3.5099 90.00 90.00 90.00
Last column: nearest neighbours and their distance in Å.
Atoms (fractional coordinates):
1 Ge 0.8436 0.3436 0.5000  6 Zr 2.80-2.91
2 Ge 0.3436 0.1564 0.5000  6 Zr 2.80-2.91
3 Ge 0.1564 0.6564 0.5000  6 Zr 2.80-2.91
4 Ge 0.6564 0.8436 0.5000  6 Zr 2.80-2.91
5 Zr 0.1439 0.3561 0.0000  6 Ge 2.80-2.91, 2 Hg 2.97
6 Zr 0.8561 0.6439 0.0000  6 Ge 2.80-2.91, 2 Hg 2.97
7 Zr 0.3561 0.8561 0.0000  6 Ge 2.80-2.91, 2 Hg 2.97
8 Zr 0.6439 0.1439 0.0000  6 Ge 2.80-2.91, 2 Hg 2.97
9 Hg 0.0000 0.0000 0.0000  4 Zr 2.97
10 Hg 0.5000 0.5000 0.0000  4 Zr 2.97

20.
An optimized crystal structure of Ho5Ge4. Source: Alexandria, functional GGA-PBE.

Output
- DFT formation energy (eV/atom) = -0.79
- SG = C2/m (12)
- energy above the most stable polymorph in this dataset (meV per atom) = 64

Lattice parameters (Å, degrees): 4.2939 5.7964 9.5235 75.79 76.97 68.26
Last column: nearest neighbours and their distance in Å.
Atoms (fractional coordinates):
1 Ge 0.3694 0.6518 0.6094  2 Ge 2.69-2.82, 5 Ho 2.93-2.98
2 Ge 0.4541 0.2580 0.8338  1 Ge 2.69, 2 Ho 2.85
3 Ge 0.6306 0.3482 0.3906  2 Ge 2.69-2.82, 5 Ho 2.93-2.98
4 Ge 0.5459 0.7420 0.1662  1 Ge 2.69, 2 Ho 2.85
5 Ho 0.0000 0.0000 0.0000  4 Ge 2.85
6 Ho 0.7544 0.6603 0.8310  6 Ge 2.98-3.22
7 Ho 0.2456 0.3397 0.1690  6 Ge 2.98-3.22
8 Ho 0.9030 0.8038 0.3903  7 Ge 2.93-3.26
9 Ho 0.0970 0.1962 0.6097  7 Ge 2.93-3.26